Material: NaNiHg2Pd
Method: DFT, PBE-GGA
State: relaxed

a b c (Å): 4.987 4.831 4.987
angles (deg): 90.00 90.00 90.00
Positions (direct):
Hg (0.500, 0.000, 0.000)
Hg (0.000, 0.000, 0.500)
Ni (0.000, 0.000, 0.000)
Na (0.500, 0.500, 0.500)
Pd (0.000, 0.500, 0.000)

**Mass density**: 8.14 g/cm3
**Total magnetization**: 0.00 μB per formula unit
**Formation energy**: 0.87 eV/f.u.

***

Material: NaNiHg2Ru
Method: DFT, PBE-GGA
State: relaxed

a b c (Å): 4.940 4.453 4.940
angles (deg): 90.00 90.00 90.00
Positions (direct):
Na (0.000, 0.000, 0.000)
Hg (0.000, 0.000, 0.500)
Hg (0.500, 0.000, 0.000)
Ru (0.500, 0.500, 0.500)
Ni (0.000, 0.500, 0.000)

**Mass density**: 8.92 g/cm3
**Total magnetization**: 1.53 μB per formula unit
**Formation energy**: 7.53 eV/f.u.

***

Material: Na2NiHgRu
Method: DFT, PBE-GGA
State: relaxed

a b c (Å): 5.329 4.850 5.329
angles (deg): 90.00 90.00 90.00
Positions (direct):
Hg (0.000, 0.000, 0.000)
Ni (0.000, 0.500, 0.000)
Na (0.500, 0.000, 0.000)
Na (0.000, 0.000, 0.500)
Ru (0.500, 0.500, 0.500)

**Mass density**: 4.90 g/cm3
**Total magnetization**: 2.68 μB per formula unit
**Formation energy**: 6.45 eV/f.u.

***

Q: The lowest mass density belongs to which entry?
A: Na2NiHgRu

***

Q: formation energy of number 3 (Na2NiHgRu)?
A: 6.45 eV/f.u.